Entry 1:
# Ho3Bi2As PBE optimized geometry
# N(E_F): 0.98 states/eV/f.u.
# Electronic total energy: -5.378 eV/atom
# Density: 9.4 Mg/m³
# Calculated volume: 29.043 Å³ per atom
# Energy of formation from the pure elements: -1021 meV per atom
data_Ho3Bi2As
_chemical_formula_sum 'Ho3 Bi2 As1'
_cell_length_a 9.712
_cell_length_b 9.712
_cell_length_c 9.712
_cell_angle_alpha 154.12
_cell_angle_beta 154.12
_cell_angle_gamma 36.93
_symmetry_space_group_name_H-M 'P 1'
_symmetry_Int_Tables_number 1
loop_
_symmetry_equiv_pos_as_xyz
'x,y,z'
loop_
_atom_site_label
_atom_site_type_symbol
_atom_site_fract_x
_atom_site_fract_y
_atom_site_fract_z
As1 As 0.000 0.000 0.000
Bi1 Bi 0.670 0.670 0.000
Bi2 Bi 0.330 0.330 0.000
Ho1 Ho 0.845 0.845 0.000
Ho2 Ho 0.155 0.155 0.000
Ho3 Ho 0.500 0.500 0.000


Entry 2:
# TmSn5 PBE optimized geometry
# N(E_F): 4.14 states/eV/f.u.
# Electronic total energy: -4.290 eV/atom
# Density: 8.0 Mg/m³
# Calculated volume: 26.294 Å³ per atom
# Energy of formation from the pure elements: -209 meV per atom
data_TmSn5
_chemical_formula_sum 'Tm2 Sn10'
_cell_length_a 4.299
_cell_length_b 6.643
_cell_length_c 11.048
_cell_angle_alpha 90.00
_cell_angle_beta 90.00
_cell_angle_gamma 89.99
_symmetry_space_group_name_H-M 'P 1'
_symmetry_Int_Tables_number 1
loop_
_symmetry_equiv_pos_as_xyz
'x,y,z'
loop_
_atom_site_label
_atom_site_type_symbol
_atom_site_fract_x
_atom_site_fract_y
_atom_site_fract_z
Tm1 Tm 0.750 0.602 0.250
Tm2 Tm 0.250 0.398 0.750
Sn1 Sn 0.750 0.636 0.931
Sn2 Sn 0.250 0.877 0.100
Sn3 Sn 0.750 0.118 0.250
Sn4 Sn 0.250 0.882 0.750
Sn5 Sn 0.250 0.364 0.069
Sn6 Sn 0.750 0.123 0.900
Sn7 Sn 0.250 0.364 0.431
Sn8 Sn 0.250 0.877 0.400
Sn9 Sn 0.750 0.636 0.569
Sn10 Sn 0.750 0.123 0.600


Entry 3:
# Tb8Al2Cd PBE optimized geometry
# N(E_F): 14.20 states/eV/f.u.
# Electronic total energy: -4.260 eV/atom
# Density: 7.7 Mg/m³
# Calculated volume: 28.176 Å³ per atom
# Distance to the lowest polymorph of the same formula: 56 meV/atom
# Energy of formation from the pure elements: -129 meV per atom
data_Tb8Al2Cd
_chemical_formula_sum 'Tb8 Al2 Cd1'
_cell_length_a 5.037
_cell_length_b 8.445
_cell_length_c 8.790
_cell_angle_alpha 118.71
_cell_angle_beta 106.65
_cell_angle_gamma 90.00
_symmetry_space_group_name_H-M 'P 1'
_symmetry_Int_Tables_number 1
loop_
_symmetry_equiv_pos_as_xyz
'x,y,z'
loop_
_atom_site_label
_atom_site_type_symbol
_atom_site_fract_x
_atom_site_fract_y
_atom_site_fract_z
Tb1 Tb 0.143 0.143 0.287
Tb2 Tb 0.857 0.857 0.713
Tb3 Tb 0.000 0.316 0.000
Tb4 Tb 0.660 0.445 0.321
Tb5 Tb 0.660 0.876 0.321
Tb6 Tb 0.000 0.684 0.000
Tb7 Tb 0.340 0.555 0.679
Tb8 Tb 0.340 0.124 0.679
Cd1 Cd 0.500 0.000 0.000
Al1 Al 0.805 0.305 0.611
Al2 Al 0.195 0.695 0.389


Entry 4:
# Sm5Bi2Ir PBE optimized geometry
# N(E_F): 6.60 states/eV/f.u.
# Electronic total energy: -5.465 eV/atom
# Density: 9.2 Mg/m³
# Calculated volume: 30.690 Å³ per atom
# Energy of formation from the pure elements: -437 meV per atom
data_Sm5Bi2Ir
_chemical_formula_sum 'Sm10 Bi4 Ir2'
_cell_length_a 5.993
_cell_length_b 5.778
_cell_length_c 16.588
_cell_angle_alpha 90.00
_cell_angle_beta 90.00
_cell_angle_gamma 121.24
_symmetry_space_group_name_H-M 'P 1'
_symmetry_Int_Tables_number 1
loop_
_symmetry_equiv_pos_as_xyz
'x,y,z'
loop_
_atom_site_label
_atom_site_type_symbol
_atom_site_fract_x
_atom_site_fract_y
_atom_site_fract_z
Sm1 Sm 0.905 0.810 0.867
Sm2 Sm 0.095 0.190 0.367
Sm3 Sm 0.756 0.512 0.250
Sm4 Sm 0.570 0.141 0.897
Sm5 Sm 0.244 0.488 0.750
Sm6 Sm 0.430 0.859 0.397
Sm7 Sm 0.430 0.859 0.103
Sm8 Sm 0.905 0.810 0.633
Sm9 Sm 0.095 0.190 0.133
Sm10 Sm 0.570 0.141 0.603
Ir1 Ir 0.301 0.602 0.250
Ir2 Ir 0.699 0.398 0.750
Bi1 Bi 0.231 0.463 0.942
Bi2 Bi 0.769 0.537 0.058
Bi3 Bi 0.231 0.463 0.558
Bi4 Bi 0.769 0.537 0.442